# 1
Compound: Cr2Cd
Source: Alexandria via LeMat-Bulk
Functional: PBE
Structure: optimized geometry

Unit cell a=4.6178 b=4.6178 c=3.2121 alpha=90.00 beta=90.00 gamma=90.00
With the nearest neighbours (Å) after each atom.
Fractional positions:
Cr 0.0000 0.5000 0.0000  4 Cd 2.81
Cr 0.5000 0.0000 0.0000  4 Cd 2.81
Cd 0.0000 0.0000 0.5000  8 Cr 2.81

symmetry = P4/mmm, No. 123
formation enthalpy at 0 K = 1194 meV per atom
calculated volume = 22.83 Å³ per atom

=====

# 2
Compound: HfZnHg2
Source: Alexandria via LeMat-Bulk
Functional: PBE
Structure: optimized geometry

Unit cell a=9.5493 b=9.5493 c=9.5493 alpha=19.33 beta=19.33 gamma=19.33
With the nearest neighbours (Å) after each atom.
Fractional positions:
Hf 0.0000 0.0000 0.0000  6 Hg 3.07-3.08, 6 Hf 3.21
Zn 0.8337 0.8337 0.8337  6 Hg 2.89-2.90, 6 Zn 3.21
Hg 0.2462 0.2462 0.2462  3 Zn 2.89, 3 Hf 3.07, 6 Hg 3.21
Hg 0.4210 0.4210 0.4210  3 Zn 2.90, 3 Hf 3.08, 6 Hg 3.21

symmetry = R3m, No. 160
formation enthalpy at 0 K = 91 meV per atom
calculated volume = 20.86 Å³ per atom

=====

# 3
Compound: PuSiIr
Source: Alexandria via LeMat-Bulk
Functional: PBE
Structure: optimized geometry

Unit cell a=4.1731 b=4.1731 c=3.8825 alpha=90.00 beta=90.00 gamma=120.00
With the nearest neighbours (Å) after each atom.
Fractional positions:
Pu 0.0000 0.0000 0.0000  6 Si 3.09, 6 Ir 3.09
Si 0.3333 0.6667 0.5000  3 Ir 2.41
Ir 0.6667 0.3333 0.5000  3 Si 2.41

symmetry = P-6m2, No. 187
raw formation energy = -0.655 eV per atom
calculated volume = 19.52 Å³ per atom

=====

# 4
Compound: Nd5Tm3As8
Source: Alexandria via LeMat-Bulk
Functional: PBE
Structure: optimized geometry

Unit cell a=8.3903 b=8.3903 c=8.3903 alpha=60.04 beta=60.04 gamma=60.04
With the nearest neighbours (Å) after each atom.
Fractional positions:
Nd 0.0000 0.0000 0.0000  6 As 2.97
Nd 0.0000 0.5000 0.5000  6 As 3.02
Nd 0.5000 0.0000 0.5000  6 As 3.02
Nd 0.5000 0.5000 0.0000  6 As 3.02
Nd 0.5000 0.5000 0.5000  6 As 2.97
Tm 0.0000 0.0000 0.5000  6 As 2.92
Tm 0.0000 0.5000 0.0000  6 As 2.92
Tm 0.5000 0.0000 0.0000  6 As 2.92
As 0.2413 0.7500 0.7500  2 Tm 2.92, 4 Nd 2.97-3.02
As 0.2457 0.2457 0.2457  3 Tm 2.92, 3 Nd 3.02
As 0.2500 0.2500 0.7587  2 Tm 2.92, 4 Nd 2.97-3.02
As 0.2500 0.7587 0.2500  2 Tm 2.92, 4 Nd 2.97-3.02
As 0.7500 0.2413 0.7500  2 Tm 2.92, 4 Nd 2.97-3.02
As 0.7500 0.7500 0.2413  2 Tm 2.92, 4 Nd 2.97-3.02
As 0.7543 0.7543 0.7543  3 Tm 2.92, 3 Nd 3.02
As 0.7587 0.2500 0.2500  2 Tm 2.92, 4 Nd 2.97-3.02

symmetry = R-3m, No. 166
formation enthalpy at 0 K = -1495 meV per atom
calculated volume = 26.12 Å³ per atom

=====

# 5
Compound: Nb2Zn2In
Source: Alexandria via LeMat-Bulk
Functional: PBE
Structure: optimized geometry

Unit cell a=7.7314 b=7.7314 c=3.1401 alpha=90.00 beta=90.00 gamma=90.00
With the nearest neighbours (Å) after each atom.
Fractional positions:
Nb 0.1211 0.3789 0.0000  1 Nb 2.65, 6 Zn 2.71-2.82
Nb 0.3789 0.8789 0.0000  1 Nb 2.65, 6 Zn 2.71-2.82
Nb 0.6211 0.1211 0.0000  1 Nb 2.65, 6 Zn 2.71-2.82
Nb 0.8789 0.6211 0.0000  1 Nb 2.65, 6 Zn 2.71-2.82
Zn 0.1766 0.6766 0.5000  6 Nb 2.71-2.82
Zn 0.3234 0.1766 0.5000  6 Nb 2.71-2.82
Zn 0.6766 0.8234 0.5000  6 Nb 2.71-2.82
Zn 0.8234 0.3234 0.5000  6 Nb 2.71-2.82
In 0.0000 0.0000 0.0000  4 Nb 3.08, 2 In 3.14, 8 Zn 3.25
In 0.5000 0.5000 0.0000  4 Nb 3.08, 2 In 3.14, 8 Zn 3.25

symmetry = P4/mbm, No. 127
formation enthalpy at 0 K = 235 meV per atom
calculated volume = 18.77 Å³ per atom

=====

# 6
Compound: CaTb4Tm3S8
Source: Alexandria via LeMat-Bulk
Functional: PBE
Structure: optimized geometry

Unit cell a=7.8203 b=7.8203 c=7.8203 alpha=59.75 beta=59.75 gamma=59.75
With the nearest neighbours (Å) after each atom.
Fractional positions:
Ca 0.0000 0.0000 0.0000  6 S 2.76
Tb 0.0000 0.0000 0.5000  6 S 2.79
Tb 0.0000 0.5000 0.0000  6 S 2.79
Tb 0.5000 0.0000 0.0000  6 S 2.79
Tb 0.5000 0.5000 0.5000  6 S 2.76
Tm 0.0000 0.5000 0.5000  6 S 2.73
Tm 0.5000 0.0000 0.5000  6 S 2.73
Tm 0.5000 0.5000 0.0000  6 S 2.73
S 0.2497 0.2497 0.7446  2 Tm 2.73, 1 Ca 2.76, 3 Tb 2.76-2.79
S 0.2497 0.7446 0.2497  2 Tm 2.73, 1 Ca 2.76, 3 Tb 2.76-2.79
S 0.2528 0.2528 0.2528  3 Tm 2.73, 3 Tb 2.79
S 0.2554 0.7503 0.7503  2 Tm 2.73, 1 Ca 2.76, 3 Tb 2.76-2.79
S 0.7446 0.2497 0.2497  2 Tm 2.73, 1 Ca 2.76, 3 Tb 2.76-2.79
S 0.7472 0.7472 0.7472  3 Tm 2.73, 3 Tb 2.79
S 0.7503 0.2554 0.7503  2 Tm 2.73, 1 Ca 2.76, 3 Tb 2.76-2.79
S 0.7503 0.7503 0.2554  2 Tm 2.73, 1 Ca 2.76, 3 Tb 2.76-2.79

symmetry = R-3m, No. 166
raw formation energy = -1.986 eV per atom
calculated volume = 21.02 Å³ per atom

=====

# 7
Compound: La2CrPd
Source: Alexandria via LeMat-Bulk
Functional: PBE
Structure: optimized geometry

Unit cell a=6.5847 b=6.5847 c=6.5847 alpha=103.73 beta=103.73 gamma=121.69
With the nearest neighbours (Å) after each atom.
Fractional positions:
La 0.1047 0.6250 0.9797  2 Pd 2.88, 2 Cr 3.10
La 0.3750 0.3547 0.4797  2 Pd 2.88, 2 Cr 3.10
La 0.6453 0.1250 0.0203  2 Pd 2.88, 2 Cr 3.10
La 0.8750 0.8953 0.5203  2 Pd 2.88, 2 Cr 3.10
Cr 0.2500 0.7500 0.5000  4 La 3.10, 2 Pd 3.21
Cr 0.5000 0.5000 0.0000  4 La 3.10, 2 Pd 3.21
Pd 0.0000 0.0000 0.0000  4 La 2.88, 2 Cr 3.21
Pd 0.7500 0.2500 0.5000  4 La 2.88, 2 Cr 3.21

symmetry = I-42d, No. 122
ΔE to the lowest computed polymorph = 210.2 meV per atom
formation enthalpy at 0 K = 136 meV per atom
calculated volume = 26.52 Å³ per atom

=====

# 8
Compound: Sr3Hg5
Source: Alexandria via LeMat-Bulk
Functional: PBE
Structure: optimized geometry

Unit cell a=9.3957 b=9.3957 c=8.8200 alpha=95.73 beta=95.73 gamma=138.59
With the nearest neighbours (Å) after each atom.
Fractional positions:
Sr 0.1608 0.8392 0.0000  8 Hg 3.33-3.63
Sr 0.2130 0.2130 0.6973  8 Hg 3.24-3.58
Sr 0.2212 0.7788 0.5000  8 Hg 3.29-3.58, 2 Sr 3.47
Sr 0.7788 0.2212 0.5000  8 Hg 3.29-3.58, 2 Sr 3.47
Sr 0.7870 0.7870 0.3027  8 Hg 3.24-3.58
Sr 0.8392 0.1608 0.0000  8 Hg 3.33-3.63
Hg 0.1875 0.3776 0.3752  4 Hg 3.10-3.34, 2 Sr 3.29-3.44
Hg 0.2486 0.5933 0.8135  2 Hg 3.16-3.22, 4 Sr 3.33-3.50
Hg 0.2846 0.2846 0.0766  3 Hg 3.12-3.49, 4 Sr 3.24-3.37
Hg 0.3776 0.1875 0.3752  4 Hg 3.10-3.34, 2 Sr 3.29-3.44
Hg 0.4067 0.7514 0.1865  2 Hg 3.16-3.22, 4 Sr 3.33-3.50
Hg 0.5933 0.2486 0.8135  2 Hg 3.16-3.22, 4 Sr 3.33-3.50
Hg 0.6224 0.8125 0.6248  4 Hg 3.10-3.34, 2 Sr 3.29-3.44
Hg 0.7154 0.7154 0.9234  3 Hg 3.12-3.49, 4 Sr 3.24-3.37
Hg 0.7514 0.4067 0.1865  2 Hg 3.16-3.22, 4 Sr 3.33-3.50
Hg 0.8125 0.6224 0.6248  4 Hg 3.10-3.34, 2 Sr 3.29-3.44

symmetry = C2/m, No. 12
ΔE to the lowest computed polymorph = 29.9 meV per atom
formation enthalpy at 0 K = -429 meV per atom
calculated volume = 30.88 Å³ per atom

=====

# 9
Compound: Pu6Ga2Ge
Source: Alexandria via LeMat-Bulk
Functional: PBE
Structure: optimized geometry

Unit cell a=8.7325 b=8.7325 c=3.1109 alpha=90.00 beta=90.00 gamma=120.00
With the nearest neighbours (Å) after each atom.
Fractional positions:
Pu 0.0000 0.3323 0.0000  5 Pu 2.90-3.11
Pu 0.0000 0.6677 0.0000  5 Pu 2.90-3.11
Pu 0.3323 0.0000 0.0000  5 Pu 2.90-3.11
Pu 0.3323 0.3323 0.0000  5 Pu 2.90-3.11
Pu 0.6677 0.0000 0.0000  5 Pu 2.90-3.11
Pu 0.6677 0.6677 0.0000  5 Pu 2.90-3.11
Ga 0.3333 0.6667 0.5000  2 Ga 3.11, 12 Pu 3.30
Ga 0.6667 0.3333 0.5000  2 Ga 3.11, 12 Pu 3.30
Ge 0.0000 0.0000 0.5000  2 Ge 3.11, 12 Pu 3.29

symmetry = P6/mmm, No. 191
formation enthalpy at 0 K = -61 meV per atom
calculated volume = 22.83 Å³ per atom

=====

# 10
Compound: Ti12Ga3Ge
Source: Alexandria via LeMat-Bulk
Functional: PBE
Structure: optimized geometry

Unit cell a=5.0630 b=5.0636 c=10.1240 alpha=90.00 beta=90.00 gamma=90.00
With the nearest neighbours (Å) after each atom.
Fractional positions:
Ti 0.0000 0.0000 0.1254  2 Ti 2.53-2.54, 2 Ga 2.83, 2 Ge 2.83
Ti 0.0000 0.0000 0.3753  2 Ti 2.53
Ti 0.0000 0.0000 0.6247  2 Ti 2.53
Ti 0.0000 0.0000 0.8746  2 Ti 2.53-2.54, 2 Ga 2.83, 2 Ge 2.83
Ti 0.2502 0.5000 0.2488  2 Ti 2.53, 1 Ge 2.82, 2 Ga 2.83
Ti 0.2502 0.5000 0.7512  2 Ti 2.53, 1 Ge 2.82, 2 Ga 2.83
Ti 0.5000 0.2498 0.0000  2 Ti 2.53, 2 Ga 2.82, 2 Ge 2.83
Ti 0.5000 0.2497 0.5000  2 Ti 2.53, 2 Ga 2.83
Ti 0.5000 0.7502 0.0000  2 Ti 2.53, 2 Ga 2.82, 2 Ge 2.83
Ti 0.5000 0.7503 0.5000  2 Ti 2.53, 2 Ga 2.83
Ti 0.7498 0.5000 0.2488  2 Ti 2.53, 1 Ge 2.82, 2 Ga 2.83
Ti 0.7498 0.5000 0.7512  2 Ti 2.53, 1 Ge 2.82, 2 Ga 2.83
Ga 0.0000 0.5000 0.5000  12 Ti 2.83-2.84
Ga 0.5000 0.0000 0.2493  12 Ti 2.82-2.84
Ga 0.5000 0.0000 0.7507  12 Ti 2.82-2.84
Ge 0.0000 0.5000 0.0000  12 Ti 2.82-2.83

symmetry = Pmmm, No. 47
formation enthalpy at 0 K = -338 meV per atom
calculated volume = 16.22 Å³ per atom

=====

Number 1: raw total energy -5.53 eV/atom, total moment 8.71 Bohr magnetons per cell. Number 2: raw total energy -2.87 eV/atom, total moment 0.00 Bohr magnetons per cell. Number 3: raw total energy -10.19 eV/atom, total moment 5.07 Bohr magnetons per cell. Number 4: raw total energy -6.15 eV/atom, total moment 0.00 Bohr magnetons per cell. Number 5: raw total energy -4.85 eV/atom, total moment 0.00 Bohr magnetons per cell. Number 6: raw total energy -6.17 eV/atom, total moment 0.00 Bohr magnetons per cell. Number 7: raw total energy -6.03 eV/atom, total moment 6.15 Bohr magnetons per cell. Number 8: raw total energy -1.25 eV/atom, total moment 0.00 Bohr magnetons per cell. Number 9: raw total energy -10.80 eV/atom, total moment 34.89 Bohr magnetons per cell. Number 10: raw total energy -7.11 eV/atom, total moment 0.00 Bohr magnetons per cell.